1.
The following is a DFT calculation (PBE) of a relaxed structure of Np2FeGe4Rh3.

POSCAR file:
```
Np2FeGe4Rh3
1.0
-0.8434 -3.9032 -1.3146
3.8593 -1.2175 1.1390
-3.4042 -2.3156 9.0596
Rh Ge Np Fe
3 4 2 1
Direct
0.0000 0.0000 0.5000
0.0000 0.5000 0.1306
0.5000 0.0000 0.8694
0.5000 0.0000 0.6258
0.0000 0.5000 0.3742
0.5000 0.5000 0.0000
0.0000 0.0000 0.0000
0.0000 0.5000 0.7456
0.5000 0.0000 0.2544
0.5000 0.5000 0.5000
```

Space group: P-4m2, No. 115

***

2.
The following is a DFT calculation (PBE) of a relaxed structure of KMo2Au.

POSCAR file:
```
KMo2Au
1.0
-2.2546 -3.6639 -1.6868
0.3304 -3.9648 -2.3503
1.2088 -3.9982 6.5230
Au Mo K
1 2 1
Direct
0.5063 0.5063 0.4323
0.9951 0.9951 0.0879
0.2401 0.2401 0.2363
0.7585 0.7585 0.7435
```

Offset from the most stable computed form (meV/atom): 266
Space group: Cm, No. 8

***

no.,ΔH_f (0 K) (eV per atom),N(E_F) (states/eV per atom),total energy (eV/atom)
1,-0.40,2.278,-7.887
2,0.77,1.228,-5.734